# 1
First-principles (PBE) data for an optimized crystal structure of Y2Sn2Cl, as listed in the Alexandria database.

The value obtained for the magnetization is 0.00 μB per atom. For the total energy, the calculation gives -5.522 eV/atom. As for the space group: No. 127. The formation energy (no corrections) comes out at -0.97 eV/atom.

a b c (Å): 7.765 7.765 4.513
angles (deg): 90.00 90.00 90.00
Positions (direct):
Y1 0.174 0.326 0.000
Y2 0.326 0.826 0.000
Y3 0.674 0.174 0.000
Y4 0.826 0.674 0.000
Sn1 0.129 0.629 0.500
Sn2 0.371 0.129 0.500
Sn3 0.629 0.871 0.500
Sn4 0.871 0.371 0.500
Cl1 0.000 0.000 0.000
Cl2 0.500 0.500 0.000

# 2
First-principles (PBE) data for an optimized crystal structure of YSn2Cl8, as listed in the Alexandria database.

The value obtained for the magnetization is 0.00 μB per atom. For the total energy, the calculation gives -3.983 eV/atom. As for the space group: No. 12. The formation energy (no corrections) comes out at -1.32 eV/atom.

a b c (Å): 7.694 7.694 7.767
angles (deg): 103.84 103.84 66.36
Positions (direct):
Y1 0.000 0.000 0.000
Sn1 0.130 0.130 0.609
Sn2 0.870 0.870 0.391
Cl1 0.129 0.700 0.177
Cl2 0.175 0.175 0.278
Cl3 0.300 0.871 0.823
Cl4 0.320 0.320 0.746
Cl5 0.680 0.680 0.254
Cl6 0.700 0.129 0.177
Cl7 0.825 0.825 0.722
Cl8 0.871 0.300 0.823

# 3
First-principles (PBE) data for an optimized crystal structure of YSnCl5, as listed in the Alexandria database.

The value obtained for the magnetization is 0.00 μB per atom. For the total energy, the calculation gives -4.494 eV/atom. As for the space group: No. 15. The formation energy (no corrections) comes out at -1.68 eV/atom.

a b c (Å): 7.216 7.216 10.355
angles (deg): 108.42 108.42 89.58
Positions (direct):
Y1 0.000 0.500 0.000
Y2 0.500 0.000 0.500
Sn1 0.086 0.914 0.750
Sn2 0.914 0.086 0.250
Cl1 0.186 0.617 0.851
Cl2 0.222 0.233 0.520
Cl3 0.233 0.222 0.020
Cl4 0.238 0.762 0.250
Cl5 0.383 0.814 0.649
Cl6 0.617 0.186 0.351
Cl7 0.762 0.238 0.750
Cl8 0.767 0.778 0.980
Cl9 0.778 0.767 0.480
Cl10 0.814 0.383 0.149

# 4
First-principles (PBE) data for an optimized crystal structure of YSnCl, as listed in the Alexandria database.

The value obtained for the magnetization is 0.00 μB per atom. For the total energy, the calculation gives -5.302 eV/atom. As for the space group: No. 2. The formation energy (no corrections) comes out at -1.20 eV/atom.

a b c (Å): 3.729 5.476 8.222
angles (deg): 83.69 76.92 89.93
Positions (direct):
Y1 0.124 0.403 0.252
Y2 0.876 0.597 0.748
Sn1 0.459 0.225 0.583
Sn2 0.541 0.775 0.417
Cl1 0.268 0.753 0.963
Cl2 0.732 0.247 0.037

# 5
First-principles (PBE) data for an optimized crystal structure of Y2ZrSnCl, as listed in the Alexandria database.

The value obtained for the magnetization is 0.80 μB per atom. For the total energy, the calculation gives -5.112 eV/atom. As for the space group: No. 123. The formation energy (no corrections) comes out at 0.35 eV/atom.

a b c (Å): 5.818 5.818 5.449
angles (deg): 90.00 90.00 90.00
Positions (direct):
Y1 0.000 0.500 0.000
Y2 0.500 0.000 0.000
Zr1 0.000 0.000 0.500
Sn1 0.000 0.000 0.000
Cl1 0.500 0.500 0.500

# 6
First-principles (PBE) data for an optimized crystal structure of ZnSn2Cl, as listed in the Alexandria database.

The value obtained for the magnetization is 0.00 μB per atom. For the total energy, the calculation gives -2.682 eV/atom. As for the space group: No. 122. The formation energy (no corrections) comes out at 0.10 eV/atom.

a b c (Å): 6.193 6.193 13.602
angles (deg): 90.00 90.00 90.00
Positions (direct):
Zn1 0.000 0.000 0.000
Zn2 0.000 0.500 0.250
Zn3 0.500 0.000 0.750
Zn4 0.500 0.500 0.500
Sn1 0.207 0.250 0.125
Sn2 0.250 0.707 0.375
Sn3 0.250 0.793 0.875
Sn4 0.293 0.250 0.625
Sn5 0.707 0.750 0.625
Sn6 0.750 0.207 0.875
Sn7 0.750 0.293 0.375
Sn8 0.793 0.750 0.125
Cl1 0.000 0.000 0.500
Cl2 0.000 0.500 0.750
Cl3 0.500 0.000 0.250
Cl4 0.500 0.500 0.000